1.
First-principles (PBE) data for TlZnCuAg after structural relaxation, as listed in the Open Quantum Materials Database.

The structure in CIF format:
```
data_TlZnCuAg
_chemical_formula_sum 'Tl4 Zn4 Cu4 Ag4'
_symmetry_space_group_name_H-M 'F -4 3 m'
_symmetry_Int_Tables_number 216
_symmetry_space_group_name_Hall 'F -4 2 3'
_cell_length_a 6.602
_cell_length_b 6.602
_cell_length_c 6.602
_cell_angle_alpha 90.00
_cell_angle_beta 90.00
_cell_angle_gamma 90.00
loop_
_atom_site_label
_atom_site_fract_x
_atom_site_fract_y
_atom_site_fract_z
_atom_site_occupancy
Tl1 0.000 0.000 0.000 1
Zn1 0.000 0.000 0.500 1
Cu1 0.250 0.250 0.250 1
Ag1 0.250 0.250 0.750 1
```

Values from the calculation:
Excess energy over the best structure of this formula in the dataset ... 0.014 eV per atom


2.
First-principles (PBE) data for ZrTlCuAg after structural relaxation, as listed in the Open Quantum Materials Database.

The structure in CIF format:
```
data_ZrTlCuAg
_chemical_formula_sum 'Zr4 Tl4 Cu4 Ag4'
_symmetry_space_group_name_H-M 'F -4 3 m'
_symmetry_Int_Tables_number 216
_symmetry_space_group_name_Hall 'F -4 2 3'
_cell_length_a 6.736
_cell_length_b 6.736
_cell_length_c 6.736
_cell_angle_alpha 90.00
_cell_angle_beta 90.00
_cell_angle_gamma 90.00
loop_
_atom_site_label
_atom_site_fract_x
_atom_site_fract_y
_atom_site_fract_z
_atom_site_occupancy
Zr1 0.000 0.000 0.000 1
Tl1 0.250 0.250 0.250 1
Cu1 0.000 0.000 0.500 1
Ag1 0.250 0.250 0.750 1
```

Values from the calculation:
M_tot ... 0.0 μB/f.u.
Excess energy over the best structure of this formula in the dataset ... 0.056 eV per atom